Entry from Alexandria: a relaxed structure of TbBeSi (PBE).

Cell: 3.947 3.947 7.677 Å, 90.00 90.00 90.00°
Sites, in units of the cell vectors:
Tb  0.000  0.000  0.000
Tb  0.500  0.500  0.500
Be  0.000  0.000  0.641
Be  0.500  0.500  0.141
Si  0.000  0.000  0.361
Si  0.500  0.500  0.861

Summary:
The total magnetization is 0.00 Bohr magnetons per cell. The value obtained for the density of states at the Fermi level is 1.500 states/eV/f.u. The raw formation energy comes out at 148 meV/atom.



Entry from Alexandria: a relaxed structure of BaNdTlGa (PBE).

Cell: 8.015 8.015 8.015 Å, 90.00 90.00 90.00°
Sites, in units of the cell vectors:
Ba  0.000  0.000  0.000
Ba  0.000  0.500  0.500
Ba  0.500  0.000  0.500
Ba  0.500  0.500  0.000
Nd  0.000  0.000  0.500
Nd  0.000  0.500  0.000
Nd  0.500  0.000  0.000
Nd  0.500  0.500  0.500
Tl  0.250  0.250  0.750
Tl  0.250  0.750  0.250
Tl  0.750  0.250  0.250
Tl  0.750  0.750  0.750
Ga  0.250  0.250  0.250
Ga  0.250  0.750  0.750
Ga  0.750  0.250  0.750
Ga  0.750  0.750  0.250

Summary:
As for the uncorrected energy: -52.69 eV/cell. The total magnetization is 0.00 Bohr magnetons per cell. The value obtained for the density of states at the Fermi level is 5.722 states/eV/f.u.



Entry from Alexandria: a relaxed structure of BaAg4Mo (PBE).

Cell: 5.792 5.792 5.792 Å, 60.00 60.00 60.00°
Sites, in units of the cell vectors:
Ba  0.000  0.000  0.000
Ag  0.376  0.376  0.376
Ag  0.376  0.376  0.871
Ag  0.376  0.871  0.376
Ag  0.871  0.376  0.376
Mo  0.750  0.750  0.750

Summary:
As for the uncorrected energy: -21.43 eV/cell. The total magnetization is 4.15 Bohr magnetons per cell. The value obtained for the density of states at the Fermi level is 3.718 states/eV/f.u.



Entry from Alexandria: a relaxed structure of BiN2Cl3 (PBE).

Cell: 8.832 8.832 5.475 Å, 107.94 107.94 48.63°
Sites, in units of the cell vectors:
Bi  0.250  0.750  0.000
Bi  0.750  0.250  0.000
N  0.099  0.099  0.093
N  0.401  0.401  0.895
N  0.599  0.599  0.105
N  0.901  0.901  0.907
Cl  0.185  0.185  0.370
Cl  0.250  0.750  0.500
Cl  0.315  0.315  0.001
Cl  0.685  0.685  0.999
Cl  0.750  0.250  0.500
Cl  0.815  0.815  0.630

Summary:
The total magnetization is 0.77 Bohr magnetons per cell. The value obtained for the density of states at the Fermi level is 2.590 states/eV/f.u. The raw formation energy comes out at 485 meV/atom.



Entry from Alexandria: a relaxed structure of ZnP (PBE).

Cell: 5.071 6.425 4.904 Å, 90.00 110.37 90.00°
Sites, in units of the cell vectors:
Zn  0.000  0.000  0.000
Zn  0.000  0.441  0.500
Zn  0.500  0.500  0.000
Zn  0.500  0.941  0.500
P  0.194  0.649  0.209
P  0.306  0.149  0.791
P  0.694  0.149  0.209
P  0.806  0.649  0.791

Summary:
As for the uncorrected energy: -27.56 eV/cell. The total magnetization is 0.00 Bohr magnetons per cell. The value obtained for the density of states at the Fermi level is 0.155 states/eV/f.u.



Entry from Alexandria: a relaxed structure of CdPSe2 (PBE).

Cell: 3.725 8.227 7.406 Å, 90.00 90.00 90.00°
Sites, in units of the cell vectors:
Cd  0.000  0.000  0.000
Cd  0.500  0.500  0.000
P  0.000  0.000  0.500
P  0.500  0.500  0.500
Se  0.000  0.500  0.276
Se  0.000  0.500  0.724
Se  0.500  0.000  0.276
Se  0.500  0.000  0.724

Summary:
For the distance to the lowest polymorph of the same formula, the calculation gives 212 meV/atom. The total magnetization is 0.00 Bohr magnetons per cell. The value obtained for the density of states at the Fermi level is 1.673 states/eV/f.u. The raw formation energy comes out at 181 meV/atom.



Entry from Alexandria: a relaxed structure of Li4NdSi4 (PBE).

Cell: 6.029 6.029 8.555 Å, 90.00 90.00 90.00°
Sites, in units of the cell vectors:
Li  0.002  0.250  0.150
Li  0.250  0.002  0.650
Li  0.250  0.498  0.650
Li  0.498  0.250  0.150
Li  0.502  0.750  0.850
Li  0.750  0.502  0.350
Li  0.750  0.998  0.350
Li  0.998  0.750  0.850
Nd  0.250  0.750  0.250
Nd  0.750  0.250  0.750
Si  0.060  0.250  0.448
Si  0.250  0.060  0.948
Si  0.250  0.440  0.948
Si  0.440  0.250  0.448
Si  0.560  0.750  0.552
Si  0.750  0.560  0.052
Si  0.750  0.940  0.052
Si  0.940  0.750  0.552

Summary:
The total magnetization is 0.00 Bohr magnetons per cell. The value obtained for the density of states at the Fermi level is 2.748 states/eV/f.u. The raw formation energy comes out at -232 meV/atom.



Entry from Alexandria: a relaxed structure of LaRhO3 (PBE).

Cell: 5.884 7.940 5.515 Å, 90.00 90.00 90.00°
Sites, in units of the cell vectors:
La  0.070  0.250  0.020
La  0.430  0.750  0.520
La  0.570  0.250  0.480
La  0.930  0.750  0.980
Rh  0.000  0.000  0.500
Rh  0.000  0.500  0.500
Rh  0.500  0.000  0.000
Rh  0.500  0.500  0.000
O  0.032  0.750  0.395
O  0.198  0.553  0.811
O  0.198  0.947  0.811
O  0.302  0.053  0.311
O  0.302  0.447  0.311
O  0.468  0.250  0.895
O  0.532  0.750  0.105
O  0.698  0.553  0.689
O  0.698  0.947  0.689
O  0.802  0.053  0.189
O  0.802  0.447  0.189
O  0.968  0.250  0.605

Summary:
The total magnetization is 0.00 Bohr magnetons per cell. The raw formation energy comes out at -2127 meV/atom.



no.,theoretical density (g/cm3)
1,5.443
2,7.169
3,8.034
4,3.781
5,4.274
6,4.408
7,3.036
8,7.470